Record 1
First-principles (PBE) data for crystalline BaScCr3 at its relaxed geometry, as listed in Alexandria via LeMat-Bulk.

Properties
The calculation puts the distance to the lowest polymorph of the same formula at 0.0 kJ/mol of atoms.

a = 5.093 Å, b = 5.093 Å, c = 5.093 Å
α = 90.00°, β = 90.00°, γ = 90.00°
Positions (direct):
Ba  0.000  0.000  0.000
Sc  0.500  0.500  0.500
Cr  0.000  0.500  0.500
Cr  0.500  0.000  0.500
Cr  0.500  0.500  0.000

Record 2
First-principles (PBE) data for crystalline BaScCr4 at its relaxed geometry, as listed in Alexandria via LeMat-Bulk.

a = 5.202 Å, b = 5.202 Å, c = 5.202 Å
α = 60.00°, β = 60.00°, γ = 60.00°
Positions (direct):
Ba  0.000  0.000  0.000
Sc  0.250  0.250  0.250
Cr  0.128  0.624  0.624
Cr  0.624  0.128  0.624
Cr  0.624  0.624  0.128
Cr  0.624  0.624  0.624

Record 3
First-principles (PBE) data for crystalline BaSc2Cr at its relaxed geometry, as listed in Alexandria via LeMat-Bulk.

Properties
The calculation puts the distance to the lowest polymorph of the same formula at 22.8 kJ/mol of atoms.

a = 6.427 Å, b = 6.427 Å, c = 6.427 Å
α = 146.80°, β = 131.09°, γ = 60.39°
Positions (direct):
Ba  0.000  0.000  0.000
Sc  0.421  0.421  0.000
Sc  0.711  0.211  0.500
Cr  0.236  0.736  0.500

Record 4
First-principles (PBE) data for crystalline BaSc2Cr at its relaxed geometry, as listed in Alexandria via LeMat-Bulk.

Properties
The calculation puts the distance to the lowest polymorph of the same formula at 28.9 kJ/mol of atoms.

a = 5.372 Å, b = 5.372 Å, c = 5.372 Å
α = 60.00°, β = 60.00°, γ = 60.00°
Positions (direct):
Ba  0.000  0.000  0.000
Sc  0.500  0.500  0.500
Sc  0.750  0.750  0.750
Cr  0.250  0.250  0.250

Number 1: ΔH_f (0 K) 1.255 eV/atom, total magnetization 11.0 Bohr magnetons per cell, total energy -6.170 eV per atom. Number 2: ΔH_f (0 K) 0.809 eV/atom, total magnetization 0.0 Bohr magnetons per cell, total energy -6.983 eV per atom. Number 3: ΔH_f (0 K) 0.569 eV/atom, total magnetization 3.3 Bohr magnetons per cell, total energy -5.484 eV per atom. Number 4: ΔH_f (0 K) 0.631 eV/atom, total magnetization 2.5 Bohr magnetons per cell, total energy -5.421 eV per atom.